Entry 1:
Below is an optimized crystal structure of Ac2ZnCl, with properties calculated at the PBE level.

## Properties
Total magnetic moment ... 0.000 μB/f.u.
Energy relative to the elements, uncorrected ... -0.78 eV per atom
Energy above the most stable polymorph in this dataset ... 17.0 kJ/mol of formula units
V ... 386 Å³/cell

Geometry as CIF:
```
data_Ac2ZnCl
_cell_length_a 3.9982
_cell_length_b 3.9982
_cell_length_c 27.8909
_cell_angle_alpha 90.00
_cell_angle_beta 90.00
_cell_angle_gamma 120.00
_symmetry_space_group_name_H-M 'R 3 m'
_symmetry_Int_Tables_number 160
_symmetry_space_group_name_Hall 'R 3 -2"'
loop_
_atom_site_label
_atom_site_fract_x
_atom_site_fract_y
_atom_site_fract_z
Ac1 0.0000 0.0000 0.0000
Ac2 0.0000 0.0000 0.1717
Zn1 0.0000 0.0000 0.5859
Cl1 0.0000 0.0000 0.4192
```



Entry 2:
Below is an optimized crystal structure of Ac7Pt3, with properties calculated at the PBE level.

## Properties
Total magnetic moment ... 0.000 μB/f.u.
Formation energy ... -0.75 eV/atom
V ... 699 Å³/cell

Geometry as CIF:
```
data_Ac7Pt3
_cell_length_a 10.7952
_cell_length_b 10.7952
_cell_length_c 6.9265
_cell_angle_alpha 90.00
_cell_angle_beta 90.00
_cell_angle_gamma 120.00
_symmetry_space_group_name_H-M 'P 63 m c'
_symmetry_Int_Tables_number 186
_symmetry_space_group_name_Hall 'P 6c -2c'
loop_
_atom_site_label
_atom_site_fract_x
_atom_site_fract_y
_atom_site_fract_z
Ac1 0.0805 0.5403 0.0000
Ac2 0.1259 0.2517 0.6750
Ac3 0.3333 0.6667 0.4741
Pt1 0.1888 0.3777 0.2470
```



Entry 3:
Below is an optimized crystal structure of TmUV4, with properties calculated at the PBE level.

## Properties
Total magnetic moment ... 0.598 μB/f.u.
Formation energy ... 0.28 eV/atom
V ... 410 Å³/cell

Geometry as CIF:
```
data_TmUV4
_cell_length_a 7.430
_cell_length_b 7.430
_cell_length_c 7.430
_cell_angle_alpha 90.00
_cell_angle_beta 90.00
_cell_angle_gamma 90.00
_symmetry_space_group_name_H-M 'F -4 3 m'
_symmetry_Int_Tables_number 216
_symmetry_space_group_name_Hall 'F -4 2 3'
loop_
_atom_site_label
_atom_site_fract_x
_atom_site_fract_y
_atom_site_fract_z
Tm1 0.000 0.000 0.000
U1 0.250 0.250 0.750
V1 0.123 0.123 0.377
```



Entry 4:
Below is an optimized crystal structure of ScCdAgF6, with properties calculated at the PBE level.

## Properties
Total magnetic moment ... 0.105 μB/f.u.
Energy relative to the elements, uncorrected ... -2.68 eV per atom
V ... 291 Å³/cell

Geometry as CIF:
```
data_ScCdAgF6
_cell_length_a 5.8432
_cell_length_b 5.8432
_cell_length_c 9.8279
_cell_angle_alpha 90.00
_cell_angle_beta 90.00
_cell_angle_gamma 120.00
_symmetry_space_group_name_H-M 'P -3 1 c'
_symmetry_Int_Tables_number 163
_symmetry_space_group_name_Hall '-P 3 2c'
loop_
_atom_site_label
_atom_site_fract_x
_atom_site_fract_y
_atom_site_fract_z
Sc1 0.3333 0.6667 0.2500
Cd1 0.3333 0.6667 0.7500
Ag1 0.0000 0.0000 0.0000
F1 0.0291 0.3805 0.1382
```



Copy entry 1 word for word.
Below is an optimized crystal structure of Ac2ZnCl, with properties calculated at the PBE level.

## Properties
Total magnetic moment ... 0.000 μB/f.u.
Energy relative to the elements, uncorrected ... -0.78 eV per atom
Energy above the most stable polymorph in this dataset ... 17.0 kJ/mol of formula units
V ... 386 Å³/cell

Geometry as CIF:
```
data_Ac2ZnCl
_cell_length_a 3.9982
_cell_length_b 3.9982
_cell_length_c 27.8909
_cell_angle_alpha 90.00
_cell_angle_beta 90.00
_cell_angle_gamma 120.00
_symmetry_space_group_name_H-M 'R 3 m'
_symmetry_Int_Tables_number 160
_symmetry_space_group_name_Hall 'R 3 -2"'
loop_
_atom_site_label
_atom_site_fract_x
_atom_site_fract_y
_atom_site_fract_z
Ac1 0.0000 0.0000 0.0000
Ac2 0.0000 0.0000 0.1717
Zn1 0.0000 0.0000 0.5859
Cl1 0.0000 0.0000 0.4192
```



Please write out number 4 again, unchanged.
Below is an optimized crystal structure of ScCdAgF6, with properties calculated at the PBE level.

## Properties
Total magnetic moment ... 0.105 μB/f.u.
Energy relative to the elements, uncorrected ... -2.68 eV per atom
V ... 291 Å³/cell

Geometry as CIF:
```
data_ScCdAgF6
_cell_length_a 5.8432
_cell_length_b 5.8432
_cell_length_c 9.8279
_cell_angle_alpha 90.00
_cell_angle_beta 90.00
_cell_angle_gamma 120.00
_symmetry_space_group_name_H-M 'P -3 1 c'
_symmetry_Int_Tables_number 163
_symmetry_space_group_name_Hall '-P 3 2c'
loop_
_atom_site_label
_atom_site_fract_x
_atom_site_fract_y
_atom_site_fract_z
Sc1 0.3333 0.6667 0.2500
Cd1 0.3333 0.6667 0.7500
Ag1 0.0000 0.0000 0.0000
F1 0.0291 0.3805 0.1382
```